(1)
A relaxed structure of PmThSi2Ni2, computed with PBE.

Spin magnetization: 0.00 μB per cell
Energy relative to the elements, uncorrected: -777 meV per atom
DOS(E_F): 0.96 states/eV per atom
Total DFT energy (no corrections): -6.540 eV/atom

Cell lengths 4.0475, 4.0475, 8.2497 Å; angles 90.00, 90.00, 120.00 degrees
Positions (direct):
1 Pm 0.0000 0.0000 0.0000
2 Th 0.0000 0.0000 0.5000
3 Si 0.6667 0.3333 0.2483
4 Si 0.3333 0.6667 0.7517
5 Ni 0.6667 0.3333 0.7433
6 Ni 0.3333 0.6667 0.2567

(2)
A relaxed structure of LaMg2W, computed with PBE.

Spin magnetization: 0.00 μB per cell
DOS(E_F): 0.82 states/eV per atom
E above lowest polymorph: 75.8 meV per atom
Total DFT energy (no corrections): -4.802 eV/atom
Formation energy: 0.466 eV/atom

Cell lengths 2.9429, 4.9468, 5.9296 Å; angles 90.00, 90.00, 90.00 degrees
Positions (direct):
1 La 0.5000 0.5000 0.7500
2 Mg 0.0000 0.0000 0.0268
3 Mg 0.0000 0.0000 0.4732
4 W 0.5000 0.5000 0.2500

(3)
A relaxed structure of BaCa2Au, computed with PBE.

Spin magnetization: 0.00 μB per cell
DOS(E_F): 0.89 states/eV per atom
E above lowest polymorph: 56.3 meV per atom
Total DFT energy (no corrections): -2.678 eV/atom
Formation energy: -0.377 eV/atom

Cell lengths 4.3266, 4.3266, 10.4340 Å; angles 78.03, 78.03, 60.00 degrees
Positions (direct):
1 Ba 0.5002 0.5002 0.4993
2 Ca 0.0532 0.0532 0.8405
3 Ca 0.2802 0.2802 0.1595
4 Au 0.6664 0.6664 0.0007

(4)
A relaxed structure of RbPt2N, computed with PBE.

Spin magnetization: 0.00 μB per cell
Energy relative to the elements, uncorrected: 85 meV per atom
DOS(E_F): 0.54 states/eV per atom
Total DFT energy (no corrections): -5.258 eV/atom

Cell lengths 5.5634, 5.5634, 7.0123 Å; angles 66.63, 66.63, 90.00 degrees
Positions (direct):
1 Rb 0.0000 0.0000 0.0000
2 Rb 0.7500 0.2500 0.5000
3 Pt 0.3750 0.1250 0.2500
4 Pt 0.3750 0.6250 0.2500
5 Pt 0.3750 0.6250 0.7500
6 Pt 0.8750 0.6250 0.7500
7 N 0.5000 0.5000 0.0000
8 N 0.2500 0.7500 0.5000

(5)
A relaxed structure of ErTlO3, computed with PBE.

Spin magnetization: 0.00 μB per cell
Energy relative to the elements, uncorrected: -2007 meV per atom
Total DFT energy (no corrections): -6.368 eV/atom

Cell lengths 6.0335, 6.7596, 6.9890 Å; angles 94.20, 90.00, 90.00 degrees
Positions (direct):
1 Er 0.7095 0.6255 0.1580
2 Er 0.2905 0.3745 0.8420
3 Er 0.2095 0.3745 0.3420
4 Er 0.7905 0.6255 0.6580
5 Tl 0.2626 0.8930 0.5741
6 Tl 0.7374 0.1070 0.4259
7 Tl 0.7626 0.1070 0.9259
8 Tl 0.2374 0.8930 0.0741
9 O 0.0251 0.8686 0.3299
10 O 0.9749 0.1314 0.6701
11 O 0.5251 0.1314 0.1701
12 O 0.4749 0.8686 0.8299
13 O 0.5946 0.7835 0.4394
14 O 0.4054 0.2165 0.5606
15 O 0.0946 0.2165 0.0606
16 O 0.9054 0.7835 0.9394
17 O 0.1541 0.5658 0.6337
18 O 0.8459 0.4342 0.3663
19 O 0.6541 0.4342 0.8663
20 O 0.3459 0.5658 0.1337

(6)
A relaxed structure of NpH2Pb2O6, computed with PBE.

Spin magnetization: 1.00 μB per cell
Total DFT energy (no corrections): -6.558 eV/atom

Cell lengths 5.3926, 5.3926, 6.2432 Å; angles 64.41, 64.41, 60.00 degrees
Site moments in Bohr magnetons follow the coordinates.
Positions (direct):
1 Np 0.0000 0.0000 0.0000  1.19
2 H 0.4127 0.4127 0.7620  0.00
3 H 0.5873 0.5873 0.2380  0.00
4 Pb 0.7778 0.7778 0.6666  0.01
5 Pb 0.2222 0.2222 0.3334  0.01
6 O 0.7454 0.7454 0.2318  -0.04
7 O 0.2774 0.7454 0.2318  -0.04
8 O 0.7454 0.2774 0.2318  -0.04
9 O 0.2546 0.7226 0.7682  -0.04
10 O 0.7226 0.2546 0.7682  -0.04
11 O 0.2546 0.2546 0.7682  -0.04

(7)
A relaxed structure of ScTiN, computed with PBE.

Spin magnetization: 0.00 μB per cell
Energy relative to the elements, uncorrected: -1224 meV per atom
DOS(E_F): 0.77 states/eV per atom
E above lowest polymorph: 0.0 meV per atom
Total DFT energy (no corrections): -8.741 eV/atom

Cell lengths 3.1691, 5.3650, 10.1834 Å; angles 90.00, 90.00, 90.00 degrees
Positions (direct):
1 Ti 0.5001 0.8312 0.8943
2 Ti 0.0001 0.6688 0.1057
3 Ti 0.4999 0.3312 0.6057
4 Ti 0.9999 0.1688 0.3943
5 Sc 0.5001 0.1664 0.1233
6 Sc 0.0001 0.3336 0.8767
7 Sc 0.4999 0.6664 0.3767
8 Sc 0.9999 0.8336 0.6233
9 N 0.0001 0.9928 0.9969
10 N 0.5001 0.5072 0.0031
11 N 0.9999 0.4928 0.5031
12 N 0.4999 0.0072 0.4969

(8)
A relaxed structure of YScCdRu, computed with PBE.

Spin magnetization: 0.00 μB per cell
DOS(E_F): 1.04 states/eV per atom
E above lowest polymorph: 135.1 meV per atom
Total DFT energy (no corrections): -6.054 eV/atom
Formation energy: -0.308 eV/atom

Cell lengths 4.9055, 4.9055, 4.9055 Å; angles 60.00, 60.00, 60.00 degrees
Positions (direct):
1 Y 0.5000 0.5000 0.5000
2 Ru 0.7500 0.7500 0.7500
3 Sc 0.0000 0.0000 0.0000
4 Cd 0.2500 0.2500 0.2500

(9)
A relaxed structure of CdGaRe, computed with PBE.

Spin magnetization: 0.00 μB per cell
DOS(E_F): 0.55 states/eV per atom
Total DFT energy (no corrections): -5.379 eV/atom
Formation energy: 0.084 eV/atom

Cell lengths 2.9592, 2.9592, 12.6285 Å; angles 90.00, 90.00, 90.00 degrees
Positions (direct):
1 Re 0.0000 0.5000 0.5619
2 Re 0.5000 0.0000 0.4381
3 Ga 0.0000 0.5000 0.2968
4 Ga 0.5000 0.0000 0.7032
5 Cd 0.5000 0.0000 0.1042
6 Cd 0.0000 0.5000 0.8958

(10)
A relaxed structure of Sm2YEr, computed with PBE.

Spin magnetization: 0.68 μB per cell
DOS(E_F): 1.74 states/eV per atom
E above lowest polymorph: 164.0 meV per atom
Total DFT energy (no corrections): -4.937 eV/atom
Formation energy: 0.179 eV/atom

Cell lengths 3.5058, 3.5058, 12.6504 Å; angles 82.04, 82.04, 60.00 degrees
Site moments in Bohr magnetons follow the coordinates.
Positions (direct):
1 Y 0.0000 0.0000 0.0000  0.23
2 Sm 0.0900 0.0900 0.7300  0.06
3 Sm 0.9100 0.9100 0.2700  0.06
4 Er 0.5000 0.5000 0.5000  0.03

(11)
A relaxed structure of NbTc2HOs, computed with PBE.

Spin magnetization: 0.00 μB per cell
DOS(E_F): 0.97 states/eV per atom
E above lowest polymorph: 17.6 meV per atom
Total DFT energy (no corrections): -9.084 eV/atom

Cell lengths 3.9925, 3.9925, 3.9824 Å; angles 90.00, 90.00, 90.00 degrees
Positions (direct):
1 H 0.0000 0.0000 0.0000
2 Nb 0.5000 0.5000 0.5000
3 Os 0.0000 0.0000 0.5000
4 Tc 0.0000 0.5000 0.0000
5 Tc 0.5000 0.0000 0.0000

(12)
A relaxed structure of GaPt, computed with PBE.

Spin magnetization: 0.00 μB per cell
DOS(E_F): 0.22 states/eV per atom
Total DFT energy (no corrections): -5.101 eV/atom
Formation energy: -0.567 eV/atom

Cell lengths 2.8622, 4.2140, 5.4185 Å; angles 90.00, 103.81, 90.00 degrees
Positions (direct):
1 Ga 0.3424 0.2500 0.6951
2 Ga 0.6576 0.7500 0.3049
3 Pt 0.1097 0.2500 0.1951
4 Pt 0.8903 0.7500 0.8049

(13)
A relaxed structure of Li5PbO4, computed with PBE.

Spin magnetization: 1.23 μB per cell
Energy relative to the elements, uncorrected: -1531 meV per atom
DOS(E_F): 0.30 states/eV per atom
Total DFT energy (no corrections): -4.842 eV/atom

Cell lengths 4.8452, 6.4273, 7.7191 Å; angles 90.00, 90.00, 90.00 degrees
Site moments in Bohr magnetons follow the coordinates.
Positions (direct):
1 Li 0.2314 0.7503 0.8203  0.00
2 Li 0.2314 0.2497 0.8203  0.00
3 Li 0.7389 0.5000 0.0000  0.01
4 Li 0.2314 0.7503 0.1797  0.00
5 Li 0.2314 0.2497 0.1797  0.00
6 Li 0.7686 0.7497 0.3203  0.00
7 Li 0.7686 0.2503 0.3203  0.00
8 Li 0.2611 0.0000 0.5000  0.01
9 Li 0.7686 0.2503 0.6797  0.00
10 Li 0.7686 0.7497 0.6797  0.00
11 Pb 0.7847 0.0000 0.0000  0.10
12 Pb 0.2153 0.5000 0.5000  0.10
13 O 0.0074 0.0000 0.7345  0.13
14 O 0.5022 0.7427 0.0000  0.08
15 O 0.5022 0.2573 0.0000  0.08
16 O 0.0074 0.0000 0.2655  0.13
17 O 0.9926 0.5000 0.2345  0.13
18 O 0.4978 0.7573 0.5000  0.08
19 O 0.4978 0.2427 0.5000  0.08
20 O 0.9926 0.5000 0.7655  0.13